20
Lattice="4.822 2.784 2.668 -4.822 2.784 2.668 0.000 -5.568 2.668" Properties=species:S:1:pos:R:3 comment="CeNi3C4O12 GGA+U relaxed" space_group="R32 (155)" dos_at_fermi_per_ev_atom=0.58 magmom_total_mub_per_fu=6.4 dft_energy_ev_per_atom=-6.975 density_g_cm3=4.30 pbc="T T T"
Ce 0.000 0.000 0.000
Ni -2.627 -1.017 2.668
Ni 2.195 -1.767 2.668
Ni 0.433 2.784 2.668
C -2.182 -3.779 4.001
C 0.000 0.000 4.001
C -2.182 3.779 4.001
C 4.364 0.000 4.001
O -2.844 -2.668 3.902
O -3.976 0.000 4.001
O -0.888 -3.797 4.101
O -1.302 0.000 4.001
O -2.844 2.668 4.101
O 1.988 -3.443 4.001
O 0.651 -1.127 4.001
O -0.888 3.797 3.902
O 0.651 1.127 4.001
O 3.733 -1.129 3.902
O 1.988 3.443 4.001
O 3.733 1.129 4.101